1.
# PBE Pr4SmDy2Sc, relaxed
data_Pr4SmDy2Sc
_chemical_formula_sum 'Pr4 Sm1 Dy2 Sc1'
_cell_length_a 5.8922
_cell_length_b 5.9063
_cell_length_c 7.6187
_cell_angle_alpha 90.00
_cell_angle_beta 90.00
_cell_angle_gamma 90.00
_symmetry_space_group_name_H-M 'P m m m'
_symmetry_Int_Tables_number 47
loop_
_symmetry_equiv_pos_as_xyz
'x,y,z'
'-x,-y,-z'
'-x,-y,z'
'x,y,-z'
'x,-y,-z'
'-x,y,z'
'-x,y,-z'
'x,-y,z'
loop_
_atom_site_label
_atom_site_type_symbol
_atom_site_fract_x
_atom_site_fract_y
_atom_site_fract_z
Pr1 Pr 0.0000 0.0000 0.2369
Pr2 Pr 0.5000 0.5000 0.2380
Sm1 Sm 0.0000 0.5000 0.5000
Dy1 Dy 0.0000 0.5000 0.0000
Dy2 Dy 0.5000 0.0000 0.5000
Sc1 Sc 0.5000 0.0000 0.0000
# total moment	0.00	μB per formula unit
# VASP energy	-38.6	eV per cell
# formation energy from the elements	0.80	eV/f.u.

=====

2.
# PBE Pr2Sm3Dy6Sc, relaxed
data_Pr2Sm3Dy6Sc
_chemical_formula_sum 'Pr4 Sm6 Dy12 Sc2'
_cell_length_a 6.1806
_cell_length_b 10.7011
_cell_length_c 11.8328
_cell_angle_alpha 90.00
_cell_angle_beta 100.00
_cell_angle_gamma 90.00
_symmetry_space_group_name_H-M 'C 1 2/m 1'
_symmetry_Int_Tables_number 12
loop_
_symmetry_equiv_pos_as_xyz
'x,y,z'
'-x,-y,-z'
'-x,y,-z'
'x,-y,z'
'x+1/2,y+1/2,z'
'-x+1/2,-y+1/2,-z'
'-x+1/2,y+1/2,-z'
'x+1/2,-y+1/2,z'
loop_
_atom_site_label
_atom_site_type_symbol
_atom_site_fract_x
_atom_site_fract_y
_atom_site_fract_z
Pr1 Pr 0.0000 0.1664 0.0000
Sm1 Sm 0.0000 0.0000 0.5000
Sm2 Sm 0.0000 0.3335 0.5000
Dy1 Dy 0.2474 0.5000 0.7506
Dy2 Dy 0.2475 0.3350 0.2488
Sc1 Sc 0.0000 0.5000 0.0000
# total moment	0.00	μB per formula unit
# VASP energy	-114.7	eV per cell
# formation energy from the elements	0.29	eV/f.u.

=====

3.
# PBE Pr2SmDy5Sc, relaxed
data_Pr2SmDy5Sc
_chemical_formula_sum 'Pr8 Sm4 Dy20 Sc4'
_cell_length_a 5.6038
_cell_length_b 19.8773
_cell_length_c 10.4770
_cell_angle_alpha 90.00
_cell_angle_beta 90.00
_cell_angle_gamma 90.00
_symmetry_space_group_name_H-M 'C m c 21'
_symmetry_Int_Tables_number 36
loop_
_symmetry_equiv_pos_as_xyz
'x,y,z'
'-x,-y,z+1/2'
'-x,y,z'
'x,-y,z+1/2'
'x+1/2,y+1/2,z'
'-x+1/2,-y+1/2,z+1/2'
'-x+1/2,y+1/2,z'
'x+1/2,-y+1/2,z+1/2'
loop_
_atom_site_label
_atom_site_type_symbol
_atom_site_fract_x
_atom_site_fract_y
_atom_site_fract_z
Pr1 Pr 0.0000 0.1132 0.0000
Pr2 Pr 0.0000 0.1152 0.4195
Sm1 Sm 0.0000 0.4111 0.1447
Dy1 Dy 0.0000 0.0166 0.7038
Dy2 Dy 0.0000 0.2764 0.0074
Dy3 Dy 0.0000 0.2969 0.3882
Dy4 Dy 0.0000 0.3746 0.7042
Dy5 Dy 0.0000 0.4828 0.4259
Sc1 Sc 0.0000 0.1966 0.6997
# total moment	0.00	μB per formula unit
# VASP energy	-168.9	eV per cell
# formation energy from the elements	1.40	eV/f.u.

=====

4.
# PBE PrSm2Dy5Sc, relaxed
data_PrSm2Dy5Sc
_chemical_formula_sum 'Pr4 Sm8 Dy20 Sc4'
_cell_length_a 5.6058
_cell_length_b 19.7676
_cell_length_c 10.4494
_cell_angle_alpha 90.00
_cell_angle_beta 90.00
_cell_angle_gamma 90.00
_symmetry_space_group_name_H-M 'C m c 21'
_symmetry_Int_Tables_number 36
loop_
_symmetry_equiv_pos_as_xyz
'x,y,z'
'-x,-y,z+1/2'
'-x,y,z'
'x,-y,z+1/2'
'x+1/2,y+1/2,z'
'-x+1/2,-y+1/2,z+1/2'
'-x+1/2,y+1/2,z'
'x+1/2,-y+1/2,z+1/2'
loop_
_atom_site_label
_atom_site_type_symbol
_atom_site_fract_x
_atom_site_fract_y
_atom_site_fract_z
Pr1 Pr 0.0000 0.0867 0.0000
Sm1 Sm 0.0000 0.3856 0.2775
Sm2 Sm 0.0000 0.3879 0.8587
Dy1 Dy 0.0000 0.0183 0.2833
Dy2 Dy 0.0000 0.1256 0.5629
Dy3 Dy 0.0000 0.2032 0.2486
Dy4 Dy 0.0000 0.2234 0.8668
Dy5 Dy 0.0000 0.4820 0.5636
Sc1 Sc 0.0000 0.3034 0.5582
# total moment	0.00	μB per formula unit
# VASP energy	-168.3	eV per cell
# formation energy from the elements	1.48	eV/f.u.

=====

5.
# PBE PrSmDy2Sc, relaxed
data_PrSmDy2Sc
_chemical_formula_sum 'Pr2 Sm2 Dy4 Sc2'
_cell_length_a 7.8887
_cell_length_b 5.0246
_cell_length_c 7.9114
_cell_angle_alpha 90.00
_cell_angle_beta 90.27
_cell_angle_gamma 90.00
_symmetry_space_group_name_H-M 'P 1 21/m 1'
_symmetry_Int_Tables_number 11
loop_
_symmetry_equiv_pos_as_xyz
'x,y,z'
'-x,-y,-z'
'-x,y+1/2,-z'
'x,-y+1/2,z'
loop_
_atom_site_label
_atom_site_type_symbol
_atom_site_fract_x
_atom_site_fract_y
_atom_site_fract_z
Pr1 Pr 0.2445 0.2500 0.2415
Sm1 Sm 0.4447 0.2500 0.6528
Dy1 Dy 0.1468 0.7500 0.5473
Dy2 Dy 0.3397 0.7500 0.9477
Sc1 Sc 0.0481 0.2500 0.8506
# total moment	0.00	μB per formula unit
# VASP energy	-49.6	eV per cell
# formation energy from the elements	0.23	eV/f.u.

=====

6.
# PBE Pr2Sm6Dy3Sc, relaxed
data_Pr2Sm6Dy3Sc
_chemical_formula_sum 'Pr4 Sm12 Dy6 Sc2'
_cell_length_a 6.2208
_cell_length_b 10.7723
_cell_length_c 11.9092
_cell_angle_alpha 90.00
_cell_angle_beta 100.04
_cell_angle_gamma 90.00
_symmetry_space_group_name_H-M 'C 1 2/m 1'
_symmetry_Int_Tables_number 12
loop_
_symmetry_equiv_pos_as_xyz
'x,y,z'
'-x,-y,-z'
'-x,y,-z'
'x,-y,z'
'x+1/2,y+1/2,z'
'-x+1/2,-y+1/2,-z'
'-x+1/2,y+1/2,-z'
'x+1/2,-y+1/2,z'
loop_
_atom_site_label
_atom_site_type_symbol
_atom_site_fract_x
_atom_site_fract_y
_atom_site_fract_z
Pr1 Pr 0.0000 0.1666 0.0000
Sm1 Sm 0.2465 0.5000 0.7482
Sm2 Sm 0.2478 0.3354 0.2512
Dy1 Dy 0.0000 0.0000 0.5000
Dy2 Dy 0.0000 0.3338 0.5000
Sc1 Sc 0.0000 0.5000 0.0000
# total moment	0.00	μB per formula unit
# VASP energy	-115.4	eV per cell
# formation energy from the elements	0.31	eV/f.u.

=====

7.
# PBE Pr2SmDySc, relaxed
data_Pr2SmDySc
_chemical_formula_sum 'Pr8 Sm4 Dy4 Sc4'
_cell_length_a 8.2985
_cell_length_b 11.4804
_cell_length_c 7.2422
_cell_angle_alpha 90.00
_cell_angle_beta 90.00
_cell_angle_gamma 90.00
_symmetry_space_group_name_H-M 'C m c m'
_symmetry_Int_Tables_number 63
_symmetry_space_group_name_Hall '-C 2c 2'
loop_
_atom_site_label
_atom_site_type_symbol
_atom_site_fract_x
_atom_site_fract_y
_atom_site_fract_z
Pr1 Pr 0.1999 0.0000 0.0000
Sm1 Sm 0.0000 0.2287 0.2500
Dy1 Dy 0.0000 0.2425 0.7500
Sc1 Sc 0.0000 0.4892 0.2500
# total moment	0.00	μB per formula unit
# VASP energy	-93.7	eV per cell
# formation energy from the elements	1.79	eV/f.u.

=====

8.
# PBE PrSmDy2Sc2, relaxed
data_PrSmDy2Sc2
_chemical_formula_sum 'Pr2 Sm2 Dy4 Sc4'
_cell_length_a 6.3101
_cell_length_b 17.6115
_cell_length_c 3.3583
_cell_angle_alpha 90.00
_cell_angle_beta 90.00
_cell_angle_gamma 90.00
_symmetry_space_group_name_H-M 'P n n m'
_symmetry_Int_Tables_number 58
loop_
_symmetry_equiv_pos_as_xyz
'x,y,z'
'-x,-y,-z'
'-x,-y,z'
'x,y,-z'
'x+1/2,-y+1/2,-z+1/2'
'-x+1/2,y+1/2,z+1/2'
'-x+1/2,y+1/2,-z+1/2'
'x+1/2,-y+1/2,z+1/2'
loop_
_atom_site_label
_atom_site_type_symbol
_atom_site_fract_x
_atom_site_fract_y
_atom_site_fract_z
Pr1 Pr 0.0000 0.0000 0.0000
Sm1 Sm 0.0000 0.5000 0.0000
Dy1 Dy 0.2163 0.1934 0.0000
Sc1 Sc 0.2142 0.3535 0.5000
# total moment	0.00	μB per formula unit
# VASP energy	-59.4	eV per cell
# formation energy from the elements	1.67	eV/f.u.